Entry from the Alexandria database: a geometry-optimized TaMn2Hg structure (GGA-PBE).

Summary:
The density is 12.37 g cm⁻³. The total magnetization is 5.3 μB per formula unit. The crystal system is monoclinic. The value obtained for the volume is 66 Å³/cell. The calculation puts the formation energy from the elements at 0.43 eV/atom.

Cell and atoms, written as POSCAR:
```
TaMn2Hg
1.0
4.851 0.000 0.000
0.000 2.879 0.000
-2.102 0.000 4.723
Ta Mn Hg
1 2 1
direct
0.000 0.000 0.000 Ta
0.500 0.000 0.500 Mn
0.500 0.500 0.000 Mn
0.000 0.500 0.500 Hg
```

=====

Entry from the Alexandria database: a geometry-optimized KSnHg2S4 structure (GGA-PBE).

Summary:
The uncorrected formation energy comes out at -0.409 eV per atom. The density is 5.09 g cm⁻³. The total magnetization is 0.0 μB per formula unit. The crystal system is orthorhombic. The value obtained for the volume is 224 Å³/cell.

Cell and atoms, written as POSCAR:
```
KSnHg2S4
1.0
0.000 5.113 4.347
5.040 0.000 4.347
5.040 5.113 0.000
K Sn Hg S
1 1 2 4
direct
0.000 0.000 0.000 K
0.501 0.501 0.499 Sn
0.276 0.276 0.224 Hg
0.776 0.776 0.724 Hg
0.139 0.537 0.861 S
0.457 0.852 0.148 S
0.537 0.139 0.463 S
0.852 0.457 0.543 S
```

=====

Entry from the Alexandria database: a geometry-optimized MgZnTe2 structure (GGA-PBE).

Summary:
The uncorrected formation energy comes out at -0.540 eV per atom. The density is 4.99 g cm⁻³. The total magnetization is 0.0 μB per formula unit. The crystal system is monoclinic. The value obtained for the volume is 919 Å³/cell.

Cell and atoms, written as POSCAR:
```
MgZnTe2
1.0
5.032 -6.720 0.000
5.032 6.720 0.000
-0.621 0.000 13.591
Mg Zn Te
8 8 16
direct
0.080 0.907 0.902 Mg
0.093 0.920 0.598 Mg
0.154 0.439 0.628 Mg
0.439 0.154 0.128 Mg
0.561 0.846 0.872 Mg
0.846 0.561 0.372 Mg
0.907 0.080 0.402 Mg
0.920 0.093 0.098 Mg
0.038 0.676 0.124 Zn
0.254 0.443 0.340 Zn
0.324 0.962 0.376 Zn
0.443 0.254 0.840 Zn
0.557 0.746 0.160 Zn
0.676 0.038 0.624 Zn
0.746 0.557 0.660 Zn
0.962 0.324 0.876 Zn
0.013 0.603 0.781 Te
0.065 0.935 0.250 Te
0.196 0.677 0.467 Te
0.211 0.246 0.982 Te
0.246 0.211 0.482 Te
0.323 0.804 0.033 Te
0.397 0.987 0.719 Te
0.468 0.532 0.750 Te
0.532 0.468 0.250 Te
0.603 0.013 0.281 Te
0.677 0.196 0.967 Te
0.754 0.789 0.518 Te
0.789 0.754 0.018 Te
0.804 0.323 0.533 Te
0.935 0.065 0.750 Te
0.987 0.397 0.219 Te
```

=====

Entry from the Alexandria database: a geometry-optimized NaTb5In6 structure (GGA-PBE).

Summary:
The density is 7.81 g cm⁻³. The total magnetization is 0.0 μB per formula unit. The crystal system is orthorhombic. The value obtained for the volume is 320 Å³/cell. The calculation puts the formation energy from the elements at -0.41 eV/atom.

Cell and atoms, written as POSCAR:
```
NaTb5In6
1.0
2.654 -8.003 0.000
2.654 8.003 0.000
0.000 0.000 7.545
Na Tb In
1 5 6
direct
0.000 0.000 0.000 Na
0.000 0.000 0.500 Tb
0.335 0.665 0.500 Tb
0.336 0.664 0.000 Tb
0.664 0.336 0.000 Tb
0.665 0.335 0.500 Tb
0.166 0.834 0.248 In
0.166 0.834 0.752 In
0.500 0.500 0.244 In
0.500 0.500 0.756 In
0.834 0.166 0.248 In
0.834 0.166 0.752 In
```

=====

Entry from the Alexandria database: a geometry-optimized PrMg4Ga4 structure (GGA-PBE).

Summary:
The density is 4.33 g cm⁻³. The total magnetization is 0.0 μB per formula unit. The crystal system is tetragonal. The value obtained for the volume is 396 Å³/cell. The calculation puts the formation energy from the elements at -0.20 eV/atom.

Cell and atoms, written as POSCAR:
```
PrMg4Ga4
1.0
6.619 0.000 0.000
0.000 6.619 0.000
0.000 0.000 9.049
Pr Mg Ga
2 8 8
direct
0.250 0.750 0.250 Pr
0.750 0.250 0.750 Pr
0.008 0.250 0.146 Mg
0.250 0.008 0.646 Mg
0.250 0.492 0.646 Mg
0.492 0.250 0.146 Mg
0.508 0.750 0.854 Mg
0.750 0.508 0.354 Mg
0.750 0.992 0.354 Mg
0.992 0.750 0.854 Mg
0.053 0.250 0.448 Ga
0.250 0.053 0.948 Ga
0.250 0.447 0.948 Ga
0.447 0.250 0.448 Ga
0.553 0.750 0.552 Ga
0.750 0.553 0.052 Ga
0.750 0.947 0.052 Ga
0.947 0.750 0.552 Ga
```

=====

Entry from the Alexandria database: a geometry-optimized In2NiI structure (GGA-PBE).

Summary:
The uncorrected formation energy comes out at 0.543 eV per atom. The density is 6.20 g cm⁻³. The total magnetization is 0.7 μB per formula unit. The crystal system is cubic. The value obtained for the volume is 111 Å³/cell.

Cell and atoms, written as POSCAR:
```
In2NiI
1.0
0.000 3.816 3.816
3.816 0.000 3.816
3.816 3.816 0.000
In Ni I
2 1 1
direct
0.250 0.250 0.250 In
0.750 0.750 0.750 In
0.000 0.000 0.000 Ni
0.500 0.500 0.500 I
```

=====

Entry from the Alexandria database: a geometry-optimized CdGaSb2O8 structure (GGA-PBE).

Summary:
The uncorrected formation energy comes out at -1.273 eV per atom. The density is 6.18 g cm⁻³. The total magnetization is 0.8 μB per formula unit. The crystal system is orthorhombic. The value obtained for the volume is 149 Å³/cell.

Cell and atoms, written as POSCAR:
```
CdGaSb2O8
1.0
3.313 -3.562 0.000
3.313 3.562 0.000
0.000 0.000 6.307
Cd Ga Sb O
1 1 2 8
direct
0.000 0.000 0.000 Cd
0.000 0.000 0.500 Ga
0.500 0.500 0.253 Sb
0.500 0.500 0.747 Sb
0.200 0.200 0.274 O
0.200 0.200 0.726 O
0.311 0.689 0.500 O
0.324 0.676 0.000 O
0.676 0.324 0.000 O
0.689 0.311 0.500 O
0.800 0.800 0.274 O
0.800 0.800 0.726 O
```

=====

Entry from the Alexandria database: a geometry-optimized Y2MgOs structure (GGA-PBE).

Summary:
The density is 6.89 g cm⁻³. The total magnetization is 0.0 μB per formula unit. The crystal system is orthorhombic. The value obtained for the volume is 95 Å³/cell. The calculation puts the formation energy from the elements at 0.02 eV/atom.

Cell and atoms, written as POSCAR:
```
Y2MgOs
1.0
4.644 0.000 0.000
0.000 1.826 5.576
0.000 -1.826 5.576
Y Mg Os
2 1 1
direct
0.000 0.000 0.000 Y
0.500 0.295 0.295 Y
0.500 0.582 0.582 Mg
0.000 0.714 0.714 Os
```

=====

Entry from the Alexandria database: a geometry-optimized Ce2H2SI structure (GGA-PBE).

Summary:
The density is 6.26 g cm⁻³. The total magnetization is 2.1 μB per formula unit. The raw total energy comes out at -31.299 eV for the cell shown. The crystal system is trigonal. The value obtained for the volume is 117 Å³/cell.

Cell and atoms, written as POSCAR:
```
Ce2H2SI
1.0
3.977 0.000 0.000
-1.988 3.444 0.000
0.000 0.000 8.543
Ce H S I
2 2 1 1
direct
0.333 0.667 0.201 Ce
0.667 0.333 0.799 Ce
0.333 0.667 0.762 H
0.667 0.333 0.238 H
0.000 0.000 0.000 S
0.000 0.000 0.500 I
```

=====

Entry from the Alexandria database: a geometry-optimized CoOsSe6 structure (GGA-PBE).

Summary:
The uncorrected formation energy comes out at -0.101 eV per atom. The density is 7.53 g cm⁻³. The total magnetization is 0.0 μB per formula unit. The calculation puts the excess energy over the best structure of this formula in the dataset at 0 meV/atom. The crystal system is triclinic. The value obtained for the volume is 159 Å³/cell.

Cell and atoms, written as POSCAR:
```
CoOsSe6
1.0
5.957 0.000 0.000
2.834 5.268 0.000
0.252 3.152 5.078
Co Os Se
1 1 6
direct
0.000 0.000 0.000 Co
0.500 0.000 0.500 Os
0.186 0.866 0.425 Se
0.291 0.500 0.085 Se
0.292 0.157 0.805 Se
0.708 0.843 0.195 Se
0.709 0.500 0.915 Se
0.814 0.134 0.575 Se
```

=====

Entry from the Alexandria database: a geometry-optimized AgH3Ir structure (GGA-PBE).

Summary:
The density is 9.85 g cm⁻³. The total magnetization is 0.0 μB per formula unit. The calculation puts the excess energy over the best structure of this formula in the dataset at 0 meV/atom. The crystal system is hexagonal. The value obtained for the volume is 51 Å³/cell.

Cell and atoms, written as POSCAR:
```
AgH3Ir
1.0
4.672 0.000 0.000
-2.336 4.046 0.000
0.000 0.000 2.702
Ag H Ir
1 3 1
direct
0.000 0.000 0.000 Ag
0.520 0.039 0.000 H
0.520 0.480 0.000 H
0.961 0.480 0.000 H
0.667 0.333 0.500 Ir
```

=====

Entry from the Alexandria database: a geometry-optimized TaZnRe2 structure (GGA-PBE).

Summary:
The density is 16.42 g cm⁻³. The total magnetization is 0.0 μB per formula unit. The crystal system is orthorhombic. The value obtained for the volume is 63 Å³/cell. The calculation puts the formation energy from the elements at 0.05 eV/atom.

Cell and atoms, written as POSCAR:
```
TaZnRe2
1.0
1.589 -2.241 0.000
1.589 2.241 0.000
0.000 0.000 8.792
Ta Zn Re
1 1 2
direct
0.000 0.000 0.000 Ta
0.000 0.000 0.500 Zn
0.500 0.500 0.252 Re
0.500 0.500 0.748 Re
```

=====

Entry from the Alexandria database: a geometry-optimized Sm5Tm2Sc structure (GGA-PBE).

Summary:
The density is 7.46 g cm⁻³. The total magnetization is 0.0 μB per formula unit. The calculation puts the excess energy over the best structure of this formula in the dataset at 0 meV/atom. The crystal system is triclinic. The value obtained for the volume is 505 Å³/cell. The calculation puts the formation energy from the elements at 0.03 eV/atom.

Cell and atoms, written as POSCAR:
```
Sm5Tm2Sc
1.0
6.141 0.000 0.000
2.054 9.159 0.000
0.004 2.758 8.974
Sm Tm Sc
10 4 2
direct
0.000 0.000 0.000 Sm
0.054 0.316 0.127 Sm
0.119 0.622 0.257 Sm
0.183 0.937 0.382 Sm
0.242 0.250 0.506 Sm
0.310 0.564 0.629 Sm
0.496 0.505 0.001 Sm
0.560 0.810 0.127 Sm
0.620 0.127 0.253 Sm
0.806 0.063 0.630 Sm
0.433 0.188 0.876 Tm
0.742 0.748 0.506 Tm
0.868 0.377 0.751 Tm
0.933 0.691 0.874 Tm
0.374 0.875 0.753 Sc
0.681 0.438 0.382 Sc
```

=====

Entry from the Alexandria database: a geometry-optimized Na6Tl12Cd structure (GGA-PBE).

Summary:
The density is 8.06 g cm⁻³. The total magnetization is 0.0 μB per formula unit. The crystal system is trigonal. The value obtained for the volume is 557 Å³/cell. The calculation puts the formation energy from the elements at -0.06 eV/atom.

Cell and atoms, written as POSCAR:
```
Na6Tl12Cd
1.0
5.916 3.416 4.591
-5.916 3.416 4.591
0.000 -6.831 4.591
Na Tl Cd
6 12 1
direct
0.222 0.383 0.762 Na
0.238 0.778 0.617 Na
0.383 0.762 0.222 Na
0.617 0.238 0.778 Na
0.762 0.222 0.383 Na
0.778 0.617 0.238 Na
0.032 0.952 0.294 Tl
0.048 0.706 0.968 Tl
0.130 0.456 0.355 Tl
0.294 0.032 0.952 Tl
0.355 0.130 0.456 Tl
0.456 0.355 0.130 Tl
0.544 0.645 0.870 Tl
0.645 0.870 0.544 Tl
0.706 0.968 0.048 Tl
0.870 0.544 0.645 Tl
0.952 0.294 0.032 Tl
0.968 0.048 0.706 Tl
0.500 0.500 0.500 Cd
```

=====

Entry from the Alexandria database: a geometry-optimized Nd2ErTe structure (GGA-PBE).

Summary:
The uncorrected formation energy comes out at -0.535 eV per atom. The density is 7.10 g cm⁻³. The total magnetization is 0.3 μB per formula unit. The calculation puts the excess energy over the best structure of this formula in the dataset at 37 meV/atom. The crystal system is trigonal. The value obtained for the volume is 136 Å³/cell.

Cell and atoms, written as POSCAR:
```
Nd2ErTe
1.0
1.997 1.153 9.871
-1.997 1.153 9.871
0.000 -2.306 9.871
Nd Er Te
2 1 1
direct
0.000 0.000 0.000 Nd
0.187 0.187 0.187 Nd
0.426 0.426 0.426 Er
0.594 0.594 0.594 Te
```

=====

Entry from the Alexandria database: a geometry-optimized Si2AsS structure (GGA-PBE).

Summary:
The uncorrected formation energy comes out at 0.306 eV per atom. The density is 3.39 g cm⁻³. The total magnetization is 0.0 μB per formula unit. The calculation puts the excess energy over the best structure of this formula in the dataset at 0 meV/atom. The crystal system is tetragonal. The value obtained for the volume is 160 Å³/cell.

Cell and atoms, written as POSCAR:
```
Si2AsS
1.0
-3.181 3.181 3.943
3.181 -3.181 3.943
3.181 3.181 -3.943
Si As S
4 2 2
direct
0.120 0.625 0.995 Si
0.375 0.370 0.495 Si
0.630 0.125 0.005 Si
0.875 0.880 0.505 Si
0.250 0.750 0.500 As
0.500 0.500 0.000 As
0.000 0.000 0.000 S
0.750 0.250 0.500 S
```

=====

Entry from the Alexandria database: a geometry-optimized LaScBr2 structure (GGA-PBE).

Summary:
The uncorrected formation energy comes out at -1.110 eV per atom. The density is 4.32 g cm⁻³. The total magnetization is 1.6 μB per formula unit. The calculation puts the excess energy over the best structure of this formula in the dataset at 0 meV/atom. The crystal system is trigonal. The value obtained for the volume is 132 Å³/cell.

Cell and atoms, written as POSCAR:
```
LaScBr2
1.0
1.919 1.108 10.367
-1.919 1.108 10.367
0.000 -2.215 10.367
La Sc Br
1 1 2
direct
0.000 0.000 0.000 La
0.758 0.758 0.758 Sc
0.266 0.266 0.266 Br
0.479 0.479 0.479 Br
```

=====

Entry from the Alexandria database: a geometry-optimized Pm3SmO6 structure (GGA-PBE).

Summary:
The uncorrected formation energy comes out at -3.318 eV per atom. The density is 7.09 g cm⁻³. The total magnetization is 0.0 μB per formula unit. The calculation puts the excess energy over the best structure of this formula in the dataset at 85 meV/atom. The crystal system is monoclinic. The value obtained for the volume is 319 Å³/cell.

Cell and atoms, written as POSCAR:
```
Pm3SmO6
1.0
5.895 0.000 0.000
0.000 6.140 0.000
-5.892 0.000 8.814
Pm Sm O
6 2 12
direct
0.000 0.000 0.000 Pm
0.000 0.500 0.500 Pm
0.269 0.048 0.749 Pm
0.269 0.452 0.249 Pm
0.731 0.548 0.751 Pm
0.731 0.952 0.251 Pm
0.500 0.000 0.500 Sm
0.500 0.500 0.000 Sm
0.098 0.085 0.251 O
0.098 0.415 0.751 O
0.268 0.688 0.082 O
0.268 0.812 0.582 O
0.398 0.190 0.084 O
0.398 0.310 0.584 O
0.602 0.690 0.416 O
0.602 0.810 0.916 O
0.732 0.188 0.418 O
0.732 0.312 0.918 O
0.902 0.585 0.249 O
0.902 0.915 0.749 O
```

=====

Entry from the Alexandria database: a geometry-optimized Sm2Ga2Au3 structure (GGA-PBE).

Summary:
The density is 11.56 g cm⁻³. The total magnetization is 0.0 μB per formula unit. The calculation puts the excess energy over the best structure of this formula in the dataset at 0 meV/atom. The crystal system is monoclinic. The value obtained for the volume is 148 Å³/cell. The calculation puts the formation energy from the elements at -0.70 eV/atom.

Cell and atoms, written as POSCAR:
```
Sm2Ga2Au3
1.0
5.315 -2.106 0.000
5.315 2.106 0.000
-2.938 0.000 6.614
Sm Ga Au
2 2 3
direct
0.136 0.136 0.266 Sm
0.864 0.864 0.734 Sm
0.152 0.152 0.708 Ga
0.848 0.848 0.292 Ga
0.383 0.383 0.063 Au
0.500 0.500 0.500 Au
0.617 0.617 0.937 Au
```

=====

Entry from the Alexandria database: a geometry-optimized Sn2PdF11 structure (GGA-PBE).

Summary:
The uncorrected formation energy comes out at -1.863 eV per atom. The density is 4.64 g cm⁻³. The total magnetization is 3.0 μB per formula unit. The crystal system is orthorhombic. The value obtained for the volume is 396 Å³/cell.

Cell and atoms, written as POSCAR:
```
Sn2PdF11
1.0
-3.872 4.887 5.226
3.872 -4.887 5.226
3.872 4.887 -5.226
Sn Pd F
4 2 22
direct
0.184 0.143 0.327 Sn
0.316 0.643 0.959 Sn
0.684 0.357 0.041 Sn
0.816 0.857 0.673 Sn
0.250 0.750 0.500 Pd
0.750 0.250 0.500 Pd
0.000 0.000 0.000 F
0.034 0.463 0.786 F
0.065 0.874 0.664 F
0.177 0.963 0.429 F
0.210 0.401 0.336 F
0.219 0.878 0.097 F
0.281 0.378 0.660 F
0.290 0.626 0.191 F
0.323 0.752 0.786 F
0.435 0.099 0.809 F
0.466 0.252 0.429 F
0.500 0.500 0.000 F
0.534 0.748 0.571 F
0.565 0.901 0.191 F
0.677 0.248 0.214 F
0.710 0.374 0.809 F
0.719 0.622 0.340 F
0.781 0.122 0.903 F
0.790 0.599 0.664 F
0.823 0.037 0.571 F
0.935 0.126 0.336 F
0.966 0.537 0.214 F
```

=====

Entry from the Alexandria database: a geometry-optimized Sc3Zn2In structure (GGA-PBE).

Summary:
The density is 5.26 g cm⁻³. The total magnetization is 0.1 μB per formula unit. The crystal system is tetragonal. The value obtained for the volume is 120 Å³/cell. The calculation puts the formation energy from the elements at -0.40 eV/atom.

Cell and atoms, written as POSCAR:
```
Sc3Zn2In
1.0
3.361 0.000 0.000
0.000 3.361 0.000
0.000 0.000 10.632
Sc Zn In
3 2 1
direct
0.000 0.000 0.000 Sc
0.000 0.000 0.312 Sc
0.000 0.000 0.688 Sc
0.500 0.500 0.152 Zn
0.500 0.500 0.848 Zn
0.500 0.500 0.500 In
```